Compound: Nd3DyN
Source: the Alexandria database
Functional: PBE
Structure: relaxed

Results
energy relative to the elements, uncorrected: -216 kJ/mol of formula units
DFT total energy: -5.893 eV/atom
symmetry: No. 221

Lattice parameters (Å, degrees): 5.1460 5.1460 5.1460 90.00 90.00 90.00
With the nearest neighbours (Å) after each atom.
Positions (direct):
Nd1 0.0000 0.0000 0.5000  2 N 2.57
Nd2 0.0000 0.5000 0.0000  2 N 2.57
Nd3 0.5000 0.0000 0.0000  2 N 2.57
Dy1 0.5000 0.5000 0.5000  12 Nd 3.64
N1 0.0000 0.0000 0.0000  6 Nd 2.57

***

Compound: Sr2CdSb4Au3
Source: the Alexandria database
Functional: PBE
Structure: relaxed

Results
energy relative to the elements, uncorrected: -482 kJ/mol of formula units
DFT total energy: -3.560 eV/atom
symmetry: No. 115

Lattice parameters (Å, degrees): 4.8003 4.8003 11.8548 90.00 90.00 90.00
With the nearest neighbours (Å) after each atom.
Positions (direct):
Sr1 0.0000 0.5000 0.2454  6 Au 3.64-3.86, 8 Sb 3.66-3.77, 2 Cd 3.86
Sr2 0.5000 0.0000 0.7546  6 Au 3.64-3.86, 8 Sb 3.66-3.77, 2 Cd 3.86
Cd1 0.0000 0.0000 0.5000  4 Sb 2.91
Sb1 0.0000 0.0000 0.0000  4 Au 2.88
Sb2 0.0000 0.5000 0.6389  3 Au 2.68-2.91, 2 Cd 2.91
Sb3 0.5000 0.0000 0.3611  3 Au 2.68-2.91, 2 Cd 2.91
Sb4 0.5000 0.5000 0.0000  4 Au 2.88
Au1 0.0000 0.5000 0.8650  5 Sb 2.68-2.88
Au2 0.5000 0.0000 0.1350  5 Sb 2.68-2.88
Au3 0.5000 0.5000 0.5000  4 Sb 2.91

***

Compound: KAlNi
Source: the Alexandria database
Functional: PBE
Structure: relaxed

Results
E above lowest polymorph: 0.612 eV/atom
ΔE_f: 0.675 eV per atom
DFT total energy: -2.865 eV/atom
symmetry: No. 216

Lattice parameters (Å, degrees): 4.6706 4.6706 4.6706 60.00 60.00 60.00
With the nearest neighbours (Å) after each atom.
Positions (direct):
K1 0.0000 0.0000 0.0000  4 Ni 2.86
Al1 0.5000 0.5000 0.5000  4 Ni 2.86
Ni1 0.7500 0.7500 0.7500  4 Al 2.86, 4 K 2.86